[1]
Below is a relaxed structure of LaNdTe2, with properties calculated at the PBE level.

The space group is R-3m. The relative energy among the computed polymorphs is 0.000 eV/atom.

CIF file:
```
data_LaNdTe2
_symmetry_space_group_name_H-M 'P 1'
_symmetry_Int_Tables_number 1
_cell_length_a 7.8294
_cell_length_b 7.8294
_cell_length_c 7.8294
_cell_angle_alpha 33.79
_cell_angle_beta 33.79
_cell_angle_gamma 33.79
loop_
_symmetry_equiv_pos_as_xyz
'x,y,z'
loop_
_atom_site_label
_atom_site_type_symbol
_atom_site_fract_x
_atom_site_fract_y
_atom_site_fract_z
_atom_site_occupancy
La1 La 0.0000 0.0000 0.0000 1
Nd1 Nd 0.5000 0.5000 0.5000 1
Te1 Te 0.2484 0.2484 0.2484 1
Te2 Te 0.7516 0.7516 0.7516 1
```

[2]
Below is a relaxed structure of LaNd2Te, with properties calculated at the PBE level.

The space group is Cmcm. The relative energy among the computed polymorphs is 0.000 eV/atom.

CIF file:
```
data_LaNd2Te
_symmetry_space_group_name_H-M 'P 1'
_symmetry_Int_Tables_number 1
_cell_length_a 6.5601
_cell_length_b 6.5601
_cell_length_c 10.3474
_cell_angle_alpha 90.00
_cell_angle_beta 90.00
_cell_angle_gamma 143.42
loop_
_symmetry_equiv_pos_as_xyz
'x,y,z'
loop_
_atom_site_label
_atom_site_type_symbol
_atom_site_fract_x
_atom_site_fract_y
_atom_site_fract_z
_atom_site_occupancy
La1 La 0.0563 0.9437 0.7500 1
La2 La 0.9437 0.0563 0.2500 1
Nd1 Nd 0.3634 0.6366 0.5359 1
Nd2 Nd 0.3634 0.6366 0.9641 1
Nd3 Nd 0.6366 0.3634 0.0359 1
Nd4 Nd 0.6366 0.3634 0.4641 1
Te1 Te 0.2316 0.7684 0.2500 1
Te2 Te 0.7684 0.2316 0.7500 1
```

[3]
Below is a relaxed structure of La2Nd3ThTe6, with properties calculated at the PBE level.

The space group is C2/m.

CIF file:
```
data_La2Nd3ThTe6
_symmetry_space_group_name_H-M 'P 1'
_symmetry_Int_Tables_number 1
_cell_length_a 10.0859
_cell_length_b 10.0859
_cell_length_c 9.0457
_cell_angle_alpha 102.61
_cell_angle_beta 102.61
_cell_angle_gamma 25.90
loop_
_symmetry_equiv_pos_as_xyz
'x,y,z'
loop_
_atom_site_label
_atom_site_type_symbol
_atom_site_fract_x
_atom_site_fract_y
_atom_site_fract_z
_atom_site_occupancy
La1 La 0.1646 0.1646 0.3310 1
La2 La 0.8354 0.8354 0.6690 1
Nd1 Nd 0.1671 0.1671 0.8361 1
Nd2 Nd 0.5000 0.5000 0.5000 1
Nd3 Nd 0.8329 0.8329 0.1639 1
Th1 Th 0.5000 0.5000 0.0000 1
Te1 Te 0.0024 0.0024 0.7509 1
Te2 Te 0.3333 0.3333 0.4131 1
Te3 Te 0.3335 0.3335 0.9194 1
Te4 Te 0.6665 0.6665 0.0806 1
Te5 Te 0.6667 0.6667 0.5869 1
Te6 Te 0.9976 0.9976 0.2491 1
```

[4]
Below is a relaxed structure of La3Nd2ThTe6, with properties calculated at the PBE level.

The space group is C2/m.

CIF file:
```
data_La3Nd2ThTe6
_symmetry_space_group_name_H-M 'P 1'
_symmetry_Int_Tables_number 1
_cell_length_a 10.1128
_cell_length_b 10.1128
_cell_length_c 9.0684
_cell_angle_alpha 102.45
_cell_angle_beta 102.45
_cell_angle_gamma 25.92
loop_
_symmetry_equiv_pos_as_xyz
'x,y,z'
loop_
_atom_site_label
_atom_site_type_symbol
_atom_site_fract_x
_atom_site_fract_y
_atom_site_fract_z
_atom_site_occupancy
La1 La 0.0000 0.0000 0.0000 1
La2 La 0.3336 0.3336 0.6664 1
La3 La 0.6664 0.6664 0.3336 1
Nd1 Nd 0.3345 0.3345 0.1690 1
Nd2 Nd 0.6655 0.6655 0.8310 1
Th1 Th 0.0000 0.0000 0.5000 1
Te1 Te 0.1659 0.1659 0.5859 1
Te2 Te 0.1686 0.1686 0.0804 1
Te3 Te 0.4992 0.4992 0.2524 1
Te4 Te 0.5008 0.5008 0.7476 1
Te5 Te 0.8314 0.8314 0.9196 1
Te6 Te 0.8341 0.8341 0.4141 1
```

What did we get for DOS at the Fermi energy? Answer: 2.474, 4.509, 8.632, 8.794 states/eV/f.u., in the order shown.
What did we get for formation energy (no corrections)? Answer: -1514, -706, -1406, -1438 meV/atom, in the order shown.